Density functional theory data (GGA-PBE) for a relaxed AlGaTc2 crystal.

As for the magnetic moment: 0.00 μB per cell. As for the energy above the most stable polymorph in this dataset: 0.0 meV/atom. As for the volume: 14.285 Å³ per atom. The energy relative to the elements is -0.145 eV per atom. The total energy is -7.02 eV per atom. As for the theoretical density: 8.51 Mg/m³.

The space group is P4/mmm (No. 123) and the conventional cell measures 3.061, 3.061 and 6.098 Å, with angles of 90.00, 90.00 and 90.00 degrees. The inequivalent atoms are Al at (0.000, 0.000, 0.000), Ga at (0.000, 0.000, 0.500) and Tc at (0.500, 0.500, 0.252).